[1]
Material: Ta2AgRh
Method: DFT, PBE-GGA
State: relaxed

Properties
DOS(E_F) in states/eV/f.u.: 2.85
Energy of formation in meV per atom: 7

a b c (Å): 4.911 4.911 5.066
angles (deg): 101.50 101.50 34.59
Sites, in units of the cell vectors:
Ta 0.000 0.000 0.000
Ta 0.744 0.744 0.286
Ag 0.242 0.242 0.770
Rh 0.489 0.489 0.496

[2]
Material: Al2AuCl
Method: DFT, PBE-GGA
State: relaxed

Properties
Relative energy among the computed polymorphs in eV per atom: 0.463
DOS(E_F) in states/eV/f.u.: 0.95
ΔE_f (raw) in eV/atom: -0.036

a b c (Å): 6.494 6.494 6.494
angles (deg): 146.00 146.00 48.84
Sites, in units of the cell vectors:
Al 0.000 0.000 0.000
Al 0.750 0.250 0.500
Au 0.250 0.750 0.500
Cl 0.500 0.500 0.000

[3]
Material: TmCdAg
Method: DFT, PBE-GGA
State: relaxed

Properties
DOS(E_F) in states/eV/f.u.: 1.20
Energy of formation in meV per atom: -268

a b c (Å): 4.881 4.881 3.265
angles (deg): 90.00 90.00 120.00
Sites, in units of the cell vectors:
Tm 0.000 0.000 0.000
Cd 0.667 0.333 0.500
Ag 0.333 0.667 0.500

[4]
Material: TcPdRh2I
Method: DFT, PBE-GGA
State: relaxed

Properties
DOS(E_F) in states/eV/f.u.: 4.38
ΔE_f (raw) in eV/atom: 1.450

a b c (Å): 4.822 4.822 4.891
angles (deg): 90.00 90.00 90.00
Sites, in units of the cell vectors:
Tc 0.000 0.000 0.000
Pd 0.500 0.500 0.000
Rh 0.000 0.500 0.500
Rh 0.500 0.000 0.500
I 0.500 0.500 0.500

[5]
Material: HfSc2SnO
Method: DFT, PBE-GGA
State: relaxed

Properties
DOS(E_F) in states/eV/f.u.: 4.86
ΔE_f (raw) in eV/atom: -1.315

a b c (Å): 4.538 4.538 4.340
angles (deg): 90.00 90.00 90.00
Sites, in units of the cell vectors:
Hf 0.000 0.000 0.000
Sc 0.000 0.500 0.500
Sc 0.500 0.000 0.500
Sn 0.500 0.500 0.000
O 0.000 0.000 0.500

[6]
Material: BaCa2Bi2
Method: DFT, PBE-GGA
State: relaxed

Properties
Relative energy among the computed polymorphs in eV per atom: 0.000
Energy of formation in meV per atom: -912

a b c (Å): 5.310 5.310 8.497
angles (deg): 90.00 90.00 120.00
Sites, in units of the cell vectors:
Ba 0.000 0.000 0.000
Ca 0.333 0.667 0.362
Ca 0.667 0.333 0.638
Bi 0.333 0.667 0.753
Bi 0.667 0.333 0.247

[7]
Material: Pm2SmMg5
Method: DFT, PBE-GGA
State: relaxed

Properties
DOS(E_F) in states/eV/f.u.: 7.66
Energy of formation in meV per atom: -91

a b c (Å): 8.661 8.661 8.661
angles (deg): 144.53 144.53 51.04
Sites, in units of the cell vectors:
Pm 0.240 0.240 0.000
Pm 0.760 0.760 0.000
Sm 0.500 0.500 0.000
Mg 0.000 0.000 0.000
Mg 0.117 0.617 0.500
Mg 0.383 0.883 0.500
Mg 0.617 0.117 0.500
Mg 0.883 0.383 0.500

[8]
Material: Ba4ZnI2Cl
Method: DFT, PBE-GGA
State: relaxed

Properties
DOS(E_F) in states/eV/f.u.: 7.64
ΔE_f (raw) in eV/atom: -1.150

a b c (Å): 8.341 4.697 8.972
angles (deg): 90.00 107.80 90.00
Sites, in units of the cell vectors:
Ba 0.232 0.000 0.217
Ba 0.261 0.500 0.782
Ba 0.739 0.500 0.218
Ba 0.768 0.000 0.783
Zn 0.000 0.500 0.000
I 0.000 0.000 0.500
I 0.500 0.500 0.500
Cl 0.500 0.000 0.000

Values for calculated total energy, eV per atom, ordered as above
-8.47, -3.19, -3.01, -4.91, -7.63, -3.65, -2.87, -2.89